Computed, not measured: an optimized crystal structure of Na7Cr2O6 at the GGA+U level of DFT.

Cell lengths 15.0237, 5.8473, 10.6290 Å; angles 90.00, 104.92, 90.00 degrees
With the nearest neighbours (Å) after each atom.
Space group C2/c (No. 15)
One atom of each set of equivalent atoms:
Na 0.0000 0.0780 0.2500  4 O 2.43-2.49
Na 0.0599 0.3581 0.6501  4 O 2.32-2.44
Na 0.1682 0.4094 0.4047  4 O 2.32-2.38
Na 0.2256 0.0400 0.8079  5 O 2.46-2.73
Cr 0.1175 0.1073 0.0385  3 O 1.83-1.84
O 0.0980 0.2307 0.8747  1 Cr 1.84
O 0.1231 0.2779 0.1856  1 Cr 1.84
O 0.1754 0.1677 0.5797  1 Cr 1.83

raw total energy = -300.50 eV/cell